# ScBr3Cl

A geometry-optimized ScBr3Cl structure (PBE, Alexandria via LeMat-Bulk).

The formation energy (no corrections) is -4.904 eV per formula unit. The value obtained for the total energy is -3.6203 eV per atom. Its energy above the lowest structure with this stoichiometry is 0.000 kcal/mol of atoms.

The structure belongs to space group Pm-3m (No. 221); the cell edges are 5.3005, 5.3005 and 5.3005 Å and the angles 90.00°, 90.00° and 90.00°. The inequivalent atoms are Sc at (0.0000, 0.0000, 0.0000), Br at (0.0000, 0.0000, 0.5000) and Cl at (0.5000, 0.5000, 0.5000).